[1]
Density functional theory data (PBE) for an optimized crystal structure of CePaTcC3.

- Formation enthalpy at 0 K: -0.05 eV per atom
- Total energy: -8.959 eV per atom
- V: 207 Å³/cell

Lattice parameters (Å, degrees): 7.335 3.621 7.823 90.00 94.24 90.00
Space group P2_1/m (No. 11)
Inequivalent atoms, fractional coordinates:
Ce1 0.153 0.250 0.165 (multiplicity 2)
Pa1 0.373 0.750 0.829 (multiplicity 2)
Tc1 0.096 0.250 0.595 (multiplicity 2)
C1 0.132 0.250 0.851 (multiplicity 2)
C2 0.167 0.750 0.519 (multiplicity 2)
C3 0.402 0.750 0.124 (multiplicity 2)



[2]
Density functional theory data (PBE) for an optimized crystal structure of Rb2MgCu2Cl6.

- Formation energy without anion corrections: -1.36 eV/atom
- Total energy: -3.434 eV per atom
- V: 582 Å³/cell

Lattice parameters (Å, degrees): 12.614 7.224 7.446 90.00 120.91 90.00
Space group C2/m (No. 12)
Inequivalent atoms, fractional coordinates:
Rb1 0.228 0.000 0.206 (multiplicity 4)
Mg1 0.000 0.000 0.500 (multiplicity 2)
Cu1 0.062 0.500 0.221 (multiplicity 4)
Cl1 0.033 0.238 0.773 (multiplicity 8)
Cl2 0.235 0.000 0.668 (multiplicity 4)



[3]
Density functional theory data (PBE) for an optimized crystal structure of HoScIn2O6.

- Formation energy without anion corrections: -2.52 eV/atom
- Total energy: -7.136 eV per atom
- V: 399 Å³/cell

Lattice parameters (Å, degrees): 5.5723 5.5723 14.8434 90.00 90.00 120.00
Space group R3 (No. 146, hexagonal axes)
Inequivalent atoms, fractional coordinates:
Ho1 0.0000 0.0000 0.0000 (multiplicity 3)
Sc1 0.0000 0.0000 0.4943 (multiplicity 3)
In1 0.0000 0.0000 0.2821 (multiplicity 3)
In2 0.0000 0.0000 0.7852 (multiplicity 3)
O1 0.0076 0.7147 0.3930 (multiplicity 9)
O2 0.0333 0.3565 0.5563 (multiplicity 9)



[4]
Density functional theory data (PBE) for an optimized crystal structure of Sb2AsI.

- Formation energy without anion corrections: 0.18 eV/atom
- Total energy: -3.435 eV per atom
- Relative energy among the computed polymorphs: 134 meV/atom
- V: 476 Å³/cell

Lattice parameters (Å, degrees): 4.7811 4.7811 24.0430 90.00 90.00 120.00
Space group R-3m (No. 166, hexagonal axes)
Inequivalent atoms, fractional coordinates:
Sb1 0.0000 0.0000 0.1256 (multiplicity 6)
As1 0.0000 0.0000 0.5000 (multiplicity 3)
I1 0.0000 0.0000 0.0000 (multiplicity 3)



Among the records above, which one has the lowest total energy?
CePaTcC3



Among the records above, which one has the highest total energy?
Rb2MgCu2Cl6



total energy of number 1 (CePaTcC3)?
-8.959 eV per atom